Density functional theory data (GGA-PBE) for a geometry-optimized Th2CoSi3 structure.

Structure (POSCAR):
```
Th2CoSi3
1.0
0.000 4.230 6.978
4.032 0.000 6.978
4.032 4.230 0.000
Th Co Si
4 2 6
direct
0.250 0.250 0.250 Th
0.250 0.750 0.250 Th
0.750 0.250 0.750 Th
0.750 0.750 0.750 Th
0.167 0.167 0.833 Co
0.833 0.833 0.167 Co
0.157 0.671 0.843 Si
0.328 0.328 0.672 Si
0.329 0.843 0.671 Si
0.671 0.157 0.329 Si
0.672 0.672 0.328 Si
0.843 0.329 0.157 Si
```

Space group = Fmmm
Mass density = 8.5 g cm⁻³
Excess energy over the best structure of this formula in the dataset = 0.00 eV per formula unit
E_form (uncorrected) = -0.82 eV/atom